Here is a relaxed structure of LaRhC3 from Alexandria. Energies are from PBE.

The space group is Pm-3m (No. 221) and the conventional cell measures 4.352, 4.352 and 4.352 Å, with angles of 90.00, 90.00 and 90.00 degrees. Symmetry generates all atoms from La at (0.000, 0.000, 0.000), Rh at (0.500, 0.500, 0.500) and C at (0.000, 0.000, 0.500).

The formation energy is 3.114 eV/atom.